(P)
# Zr5Bi2

An optimized crystal structure of Zr5Bi2 (PBE, the Alexandria database). Values from VASP.

Structure (Quantum ESPRESSO input):
```
&SYSTEM
  ibrav = 0, nat = 14, ntyp = 2
/
ATOMIC_SPECIES
Zr 91.22 Zr.upf
Bi 208.98 Bi.upf
CELL_PARAMETERS angstrom
7.973 -2.846 0.000
7.973 2.846 0.000
-0.230 0.000 7.320
ATOMIC_POSITIONS angstrom
Zr 7.800 1.992 5.490
Zr 4.431 0.742 4.964
Zr 6.732 0.723 2.876
Zr 4.546 -0.742 1.304
Zr 9.099 0.723 0.784
Zr 6.617 -0.723 6.537
Zr 11.170 0.742 6.016
Zr 8.984 -0.723 4.444
Zr 11.285 -0.742 2.356
Zr 7.916 -1.992 1.830
Bi 2.009 0.751 7.038
Bi 2.124 -0.751 3.378
Bi 13.592 0.751 3.943
Bi 13.707 -0.751 0.282
```

Mass density = 8.74 g cm⁻³
Space-group type = C2/c, No. 15
Total moment = 0.000 μB/cell



(Q)
# Zr5Bi2

An optimized crystal structure of Zr5Bi2 (PBE, the Alexandria database). Values from VASP.

Structure (Quantum ESPRESSO input):
```
&SYSTEM
  ibrav = 0, nat = 14, ntyp = 2
/
ATOMIC_SPECIES
Zr 91.22 Zr.upf
Bi 208.98 Bi.upf
CELL_PARAMETERS angstrom
7.296 -2.904 0.000
7.296 2.904 0.000
-0.345 0.000 8.029
ATOMIC_POSITIONS angstrom
Zr 3.186 0.614 2.422
Zr 7.038 1.673 6.022
Zr 5.584 0.939 0.375
Zr 3.014 -0.614 6.437
Zr 8.836 0.939 3.640
Zr 5.412 -0.939 4.390
Zr 11.234 0.614 1.592
Zr 8.664 -0.939 7.654
Zr 7.210 -1.673 2.007
Zr 11.062 -0.614 5.607
Bi 5.779 1.844 3.328
Bi 8.641 1.844 0.687
Bi 5.607 -1.844 7.343
Bi 8.469 -1.844 4.702
```

Mass density = 8.53 g cm⁻³
Space-group type = C2/c, No. 15
Total moment = 0.000 μB/cell



Most stable: (P). Least stable: (Q).



(P)
# Zr4Bi

An optimized crystal structure of Zr4Bi (PBE, the Alexandria database). Values from VASP.

Structure (Quantum ESPRESSO input):
```
&SYSTEM
  ibrav = 0, nat = 5, ntyp = 2
/
ATOMIC_SPECIES
Zr 91.22 Zr.upf
Bi 208.98 Bi.upf
CELL_PARAMETERS angstrom
5.360 0.000 0.000
0.000 5.360 0.000
0.000 0.000 5.360
ATOMIC_POSITIONS angstrom
Zr 0.000 0.000 0.000
Zr 0.000 2.680 2.680
Zr 2.680 0.000 2.680
Zr 2.680 2.680 0.000
Bi 2.680 2.680 2.680
```

Mass density = 6.19 g cm⁻³
Space-group type = Pm-3m, No. 221
Total moment = 0.013 μB/cell



(Q)
# Zr4Bi

An optimized crystal structure of Zr4Bi (PBE, the Alexandria database). Values from VASP.

Structure (Quantum ESPRESSO input):
```
&SYSTEM
  ibrav = 0, nat = 10, ntyp = 2
/
ATOMIC_SPECIES
Zr 91.22 Zr.upf
Bi 208.98 Bi.upf
CELL_PARAMETERS angstrom
-2.530 3.048 7.495
2.530 -3.048 7.495
2.530 3.048 -7.495
ATOMIC_POSITIONS angstrom
Zr 0.000 0.000 0.000
Zr 0.000 0.065 2.962
Zr 2.530 0.065 4.533
Zr 2.530 1.524 1.494
Zr 0.000 3.048 0.000
Zr 0.000 1.524 6.001
Zr 0.000 2.982 2.962
Zr 2.530 2.982 4.533
Bi 2.530 1.524 -1.643
Bi 0.000 1.524 9.138
```

Mass density = 8.24 g cm⁻³
Space-group type = Imma, No. 74
Total moment = 0.000 μB/cell



(R)
# Zr4Bi

An optimized crystal structure of Zr4Bi (PBE, the Alexandria database). Values from VASP.

Structure (Quantum ESPRESSO input):
```
&SYSTEM
  ibrav = 0, nat = 10, ntyp = 2
/
ATOMIC_SPECIES
Zr 91.22 Zr.upf
Bi 208.98 Bi.upf
CELL_PARAMETERS angstrom
-3.117 3.117 6.581
3.117 -3.117 6.581
3.117 3.117 -6.581
ATOMIC_POSITIONS angstrom
Zr 4.935 0.686 0.626
Zr 0.873 0.259 2.664
Zr 3.990 0.259 3.917
Zr 1.300 2.432 0.626
Zr 1.817 0.686 5.954
Zr -0.873 2.859 2.664
Zr 2.244 2.859 3.917
Zr -1.817 2.432 5.954
Bi 3.117 1.559 -1.645
Bi 0.000 1.559 8.226
```

Mass density = 7.45 g cm⁻³
Space-group type = I4_1/a, No. 88
Total moment = 0.000 μB/cell



Most stable: (Q). Least stable: (P).



(P)
# Br

An optimized crystal structure of Br (PBE, the Alexandria database). Values from VASP.

Structure (Quantum ESPRESSO input):
```
&SYSTEM
  ibrav = 0, nat = 8, ntyp = 1
/
ATOMIC_SPECIES
Br 79.90 Br.upf
CELL_PARAMETERS angstrom
7.661 0.000 0.000
0.000 5.244 0.000
0.000 0.000 8.194
ATOMIC_POSITIONS angstrom
Br 0.000 0.000 0.000
Br 0.000 0.000 4.097
Br 0.000 1.537 2.048
Br 0.000 3.707 6.145
Br 3.831 1.085 6.145
Br 3.831 2.622 0.000
Br 3.831 2.622 4.097
Br 3.831 4.159 2.048
```

Mass density = 3.22 g cm⁻³
Space-group type = Cmcm, No. 63
Total moment = 0.000 μB/cell



(Q)
# Br

An optimized crystal structure of Br (PBE, the Alexandria database). Values from VASP.

Structure (Quantum ESPRESSO input):
```
&SYSTEM
  ibrav = 0, nat = 8, ntyp = 1
/
ATOMIC_SPECIES
Br 79.90 Br.upf
CELL_PARAMETERS angstrom
8.704 0.000 0.000
0.000 8.732 0.000
0.000 0.000 4.242
ATOMIC_POSITIONS angstrom
Br 0.000 1.036 0.600
Br 0.000 3.330 2.721
Br 0.000 5.402 1.521
Br 0.000 7.696 3.643
Br 4.352 1.036 1.521
Br 4.352 3.330 3.643
Br 4.352 5.402 0.600
Br 4.352 7.696 2.721
```

Mass density = 3.29 g cm⁻³
Space-group type = Cmce, No. 64
Total moment = 0.000 μB/cell



Most stable: (P). Least stable: (Q).



(P)
# CaCBr2

An optimized crystal structure of CaCBr2 (PBE, the Alexandria database). Values from VASP.

Structure (Quantum ESPRESSO input):
```
&SYSTEM
  ibrav = 0, nat = 16, ntyp = 3
/
ATOMIC_SPECIES
Ca 40.08 Ca.upf
C 12.01 C.upf
Br 79.90 Br.upf
CELL_PARAMETERS angstrom
7.218 0.000 0.000
0.000 7.218 0.000
0.000 0.000 7.218
ATOMIC_POSITIONS angstrom
Ca 0.000 0.000 0.000
Ca 0.000 3.609 3.609
Ca 3.609 0.000 3.609
Ca 3.609 3.609 0.000
C 0.000 0.000 3.609
C 0.000 3.609 0.000
C 3.609 0.000 0.000
C 3.609 3.609 3.609
Br 1.805 1.805 1.805
Br 1.805 1.805 5.414
Br 1.805 5.414 1.805
Br 1.805 5.414 5.414
Br 5.414 1.805 1.805
Br 5.414 1.805 5.414
Br 5.414 5.414 1.805
Br 5.414 5.414 5.414
```

Mass density = 3.74 g cm⁻³
Space-group type = Fm-3m, No. 225
Total moment = 8.000 μB/cell



(Q)
# CaCBr2

An optimized crystal structure of CaCBr2 (PBE, the Alexandria database). Values from VASP.

Structure (Quantum ESPRESSO input):
```
&SYSTEM
  ibrav = 0, nat = 16, ntyp = 3
/
ATOMIC_SPECIES
Ca 40.08 Ca.upf
C 12.01 C.upf
Br 79.90 Br.upf
CELL_PARAMETERS angstrom
5.189 0.000 0.000
0.000 5.189 0.000
0.000 0.000 17.403
ATOMIC_POSITIONS angstrom
Ca 0.000 0.000 0.000
Ca 0.000 2.595 4.351
Ca 2.595 0.000 13.052
Ca 2.595 2.595 8.701
C 0.000 0.000 8.701
C 0.000 2.595 13.052
C 2.595 0.000 4.351
C 2.595 2.595 0.000
Br 1.253 1.297 10.877
Br 1.297 3.848 15.228
Br 1.297 3.936 6.526
Br 1.341 1.297 2.175
Br 3.848 3.892 2.175
Br 3.892 1.253 6.526
Br 3.892 1.341 15.228
Br 3.936 3.892 10.877
```

Mass density = 3.00 g cm⁻³
Space-group type = I-42d, No. 122
Total moment = 8.000 μB/cell



Most stable: (P). Least stable: (Q).